Compound: Sm4CuSi
Source: Alexandria
Functional: PBE-GGA
Structure: optimized geometry

Cell and atoms, written as POSCAR:
```
Sm4CuSi
1.0
2.6015 -10.4176 0.0000
2.6015 10.4176 0.0000
0.0000 0.0000 6.2762
Sm Cu Si
8 2 2
Direct
0.0558 0.9442 0.5000 Sm
0.1956 0.8044 0.7561 Sm
0.2095 0.7905 0.2698 Sm
0.3917 0.6083 0.5268 Sm
0.6083 0.3917 0.0268 Sm
0.7905 0.2095 0.7698 Sm
0.8044 0.1956 0.2561 Sm
0.9442 0.0558 0.0000 Sm
0.0786 0.9214 0.0108 Cu
0.9214 0.0786 0.5108 Cu
0.3421 0.6579 0.0114 Si
0.6579 0.3421 0.5114 Si
```

For the uncorrected formation energy, the calculation gives -109 meV per atom. The total energy is -4.842 eV/atom. As for the volume: 340.2 Å³ per cell. The symmetry is Cmc2_1, No. 36.



Compound: SmCu12Si4
Source: Alexandria
Functional: PBE-GGA
Structure: optimized geometry

Cell and atoms, written as POSCAR:
```
SmCu12Si4
1.0
-4.0652 4.0652 4.0652
4.0652 -4.0652 4.0652
4.0652 4.0652 -4.0652
Sm Cu Si
1 12 4
Direct
0.0000 0.0000 0.0000 Sm
0.1573 0.3526 0.5099 Cu
0.1573 0.6474 0.8047 Cu
0.1953 0.8427 0.3526 Cu
0.3526 0.1953 0.8427 Cu
0.3526 0.5099 0.1573 Cu
0.4901 0.8427 0.6474 Cu
0.5099 0.1573 0.3526 Cu
0.6474 0.4901 0.8427 Cu
0.6474 0.8047 0.1573 Cu
0.8047 0.1573 0.6474 Cu
0.8427 0.3526 0.1953 Cu
0.8427 0.6474 0.4901 Cu
0.0000 0.0000 0.5000 Si
0.0000 0.5000 0.0000 Si
0.5000 0.0000 0.0000 Si
0.5000 0.5000 0.5000 Si
```

For the uncorrected formation energy, the calculation gives 261 meV per atom. The total energy is -4.184 eV/atom. As for the volume: 268.7 Å³ per cell. The symmetry is Im-3, No. 204.



Compound: Sm3Cu2Si3
Source: Alexandria
Functional: PBE-GGA
Structure: optimized geometry

Cell and atoms, written as POSCAR:
```
Sm3Cu2Si3
1.0
2.1230 -5.2629 0.0000
2.1230 5.2629 0.0000
0.0000 0.0000 14.2821
Sm Cu Si
6 4 6
Direct
0.0881 0.9119 0.6127 Sm
0.0881 0.9119 0.8873 Sm
0.3725 0.6275 0.7500 Sm
0.6275 0.3725 0.2500 Sm
0.9119 0.0881 0.1127 Sm
0.9119 0.0881 0.3873 Sm
0.2074 0.7926 0.0886 Cu
0.2074 0.7926 0.4114 Cu
0.7926 0.2074 0.5886 Cu
0.7926 0.2074 0.9114 Cu
0.3262 0.6738 0.2500 Si
0.3909 0.6091 0.5394 Si
0.3909 0.6091 0.9606 Si
0.6091 0.3909 0.0394 Si
0.6091 0.3909 0.4606 Si
0.6738 0.3262 0.7500 Si
```

For the uncorrected formation energy, the calculation gives -625 meV per atom. The total energy is -5.452 eV/atom. As for the volume: 319.2 Å³ per cell. The symmetry is Cmcm, No. 63.



Compound: Sm4CuSi2
Source: Alexandria
Functional: PBE-GGA
Structure: optimized geometry

Cell and atoms, written as POSCAR:
```
Sm4CuSi2
1.0
2.4792 1.4314 8.5469
-2.4792 1.4314 8.5469
0.0000 -2.8628 8.5469
Sm Cu Si
4 1 2
Direct
0.1232 0.1232 0.1232 Sm
0.2929 0.2929 0.2929 Sm
0.7071 0.7071 0.7071 Sm
0.8768 0.8768 0.8768 Sm
0.5000 0.5000 0.5000 Cu
0.4096 0.4096 0.4096 Si
0.5904 0.5904 0.5904 Si
```

For the uncorrected formation energy, the calculation gives -391 meV per atom. The total energy is -5.223 eV/atom. As for the volume: 182.0 Å³ per cell. The symmetry is R-3m, No. 166.



Compound: Sm2CuSi
Source: Alexandria
Functional: PBE-GGA
Structure: optimized geometry

Cell and atoms, written as POSCAR:
```
Sm2CuSi
1.0
5.0113 0.0000 0.0000
0.0000 5.0113 0.0000
0.0000 0.0000 3.6244
Sm Cu Si
2 1 1
Direct
0.0000 0.5000 0.0000 Sm
0.5000 0.0000 0.0000 Sm
0.0000 0.0000 0.5000 Cu
0.5000 0.5000 0.5000 Si
```

For the uncorrected formation energy, the calculation gives -364 meV per atom. The total energy is -5.104 eV/atom. As for the volume: 91.0 Å³ per cell. The symmetry is P4/mmm, No. 123.



Compound: SmCu3Si2
Source: Alexandria
Functional: PBE-GGA
Structure: optimized geometry

Cell and atoms, written as POSCAR:
```
SmCu3Si2
1.0
7.3861 -1.9791 0.0000
7.3861 1.9791 0.0000
-3.0305 0.0000 6.5025
Sm Cu Si
2 6 4
Direct
0.1512 0.1512 0.0716 Sm
0.8488 0.8488 0.9284 Sm
0.0358 0.0358 0.3690 Cu
0.3155 0.3155 0.5522 Cu
0.4035 0.4035 0.3210 Cu
0.5965 0.5965 0.6790 Cu
0.6845 0.6845 0.4478 Cu
0.9642 0.9642 0.6310 Cu
0.1892 0.1892 0.6788 Si
0.4803 0.4803 0.8243 Si
0.5197 0.5197 0.1757 Si
0.8108 0.8108 0.3212 Si
```

For the uncorrected formation energy, the calculation gives -447 meV per atom. The total energy is -5.089 eV/atom. As for the volume: 190.1 Å³ per cell. The symmetry is C2/m, No. 12.



Compound: Sm2Cu15Si2
Source: Alexandria
Functional: PBE-GGA
Structure: optimized geometry

Cell and atoms, written as POSCAR:
```
Sm2Cu15Si2
1.0
4.3115 2.4892 4.1715
-4.3115 2.4892 4.1715
0.0000 -4.9785 4.1715
Sm Cu Si
2 15 2
Direct
0.1563 0.1563 0.1563 Sm
0.8437 0.8437 0.8437 Sm
0.0000 0.5000 0.5000 Cu
0.1567 0.1567 0.6525 Cu
0.1567 0.6525 0.1567 Cu
0.2003 0.5000 0.7997 Cu
0.2003 0.7997 0.5000 Cu
0.3475 0.8433 0.8433 Cu
0.5000 0.0000 0.5000 Cu
0.5000 0.2003 0.7997 Cu
0.5000 0.5000 0.0000 Cu
0.5000 0.7997 0.2003 Cu
0.6525 0.1567 0.1567 Cu
0.7997 0.2003 0.5000 Cu
0.7997 0.5000 0.2003 Cu
0.8433 0.3475 0.8433 Cu
0.8433 0.8433 0.3475 Cu
0.4033 0.4033 0.4033 Si
0.5967 0.5967 0.5967 Si
```

For the uncorrected formation energy, the calculation gives -130 meV per atom. The total energy is -4.431 eV/atom. As for the volume: 268.6 Å³ per cell. The symmetry is R-3m, No. 166.



Compound: Sm3Cu4Si2
Source: Alexandria
Functional: PBE-GGA
Structure: optimized geometry

Cell and atoms, written as POSCAR:
```
Sm3Cu4Si2
1.0
5.3092 -2.0960 0.0000
5.3092 2.0960 0.0000
-2.4730 0.0000 7.9537
Sm Cu Si
3 4 2
Direct
0.0000 0.0000 0.0000 Sm
0.3347 0.3347 0.3352 Sm
0.6653 0.6653 0.6648 Sm
0.0575 0.0575 0.3866 Cu
0.2831 0.2831 0.9404 Cu
0.7169 0.7169 0.0596 Cu
0.9425 0.9425 0.6134 Cu
0.3910 0.3910 0.7211 Si
0.6090 0.6090 0.2789 Si
```

For the uncorrected formation energy, the calculation gives -475 meV per atom. The total energy is -5.074 eV/atom. As for the volume: 177.0 Å³ per cell. The symmetry is C2/m, No. 12.



Copy entry 6 word for word.
Compound: SmCu3Si2
Source: Alexandria
Functional: PBE-GGA
Structure: optimized geometry

Cell and atoms, written as POSCAR:
```
SmCu3Si2
1.0
7.3861 -1.9791 0.0000
7.3861 1.9791 0.0000
-3.0305 0.0000 6.5025
Sm Cu Si
2 6 4
Direct
0.1512 0.1512 0.0716 Sm
0.8488 0.8488 0.9284 Sm
0.0358 0.0358 0.3690 Cu
0.3155 0.3155 0.5522 Cu
0.4035 0.4035 0.3210 Cu
0.5965 0.5965 0.6790 Cu
0.6845 0.6845 0.4478 Cu
0.9642 0.9642 0.6310 Cu
0.1892 0.1892 0.6788 Si
0.4803 0.4803 0.8243 Si
0.5197 0.5197 0.1757 Si
0.8108 0.8108 0.3212 Si
```

For the uncorrected formation energy, the calculation gives -447 meV per atom. The total energy is -5.089 eV/atom. As for the volume: 190.1 Å³ per cell. The symmetry is C2/m, No. 12.